Record 1
AuC2: relaxed, PBE.

The value obtained for the volume is 207.3 Å³ per cell. As for the offset from the most stable computed form: 0.938 eV per atom.

Cell lengths 2.5755, 9.6139, 8.3706 Å; angles 90.00, 90.00, 90.00 degrees
With the nearest neighbours (Å) after each atom.
Space group Cmcm (No. 63)
Unique sites:
Au (0.0000, 0.1406, 0.2500)  6 C 2.54-2.62, 2 Au 2.58
C (0.0000, 0.1321, 0.7500)  2 C 1.36
C (0.0000, 0.4134, 0.2500)  2 C 1.36

---

Record 2
Li8Tl2Cd3: relaxed, PBE.

The value obtained for the volume is 260.4 Å³ per cell. As for the total DFT energy (no corrections): -1.93 eV per atom.

Cell lengths 7.1831, 4.5937, 8.3371 Å; angles 90.00, 108.81, 90.00 degrees
With the nearest neighbours (Å) after each atom.
Space group P2/m (No. 10)
Unique sites:
Li (0.0662, 0.0000, 0.3572)  4 Li 2.83-2.94, 1 Tl 2.87, 3 Cd 2.88-2.96
Li (0.0852, 0.5000, 0.8623)  2 Tl 2.90, 1 Cd 2.91, 6 Li 2.92-3.21
Li (0.3640, 0.0000, 0.7972)  2 Tl 2.81-2.86, 1 Li 2.94, 3 Cd 2.94-2.96
Li (0.3723, 0.5000, 0.2774)  4 Cd 2.82-2.97, 2 Tl 2.83, 1 Li 3.11
Tl (0.2223, 0.0000, 0.0804)  7 Li 2.81-2.90, 1 Tl 3.04
Cd (0.2163, 0.5000, 0.5670)  7 Li 2.82-2.97, 1 Cd 2.94
Cd (0.5000, 0.0000, 0.5000)  8 Li 2.91-2.96, 4 Cd 3.24

---

Record 3
Pr2GaCu6: relaxed, PBE.

The value obtained for the volume is 155.9 Å³ per cell. As for the total DFT energy (no corrections): -4.32 eV per atom.

Cell lengths 5.5625, 5.5625, 5.8174 Å; angles 90.00, 90.00, 120.00 degrees
With the nearest neighbours (Å) after each atom.
Space group P-3m1 (No. 164)
Unique sites:
Pr (0.3333, 0.6667, 0.3419)  12 Cu 2.99-3.28, 3 Ga 3.34
Ga (0.0000, 0.0000, 0.5000)  6 Cu 2.64
Cu (0.1784, 0.3569, 0.8444)  4 Cu 2.50-2.58, 1 Ga 2.64

---

Record 4
MgSc2GaN: relaxed, PBE.

The calculation puts the raw formation energy at -953 meV/atom. The value obtained for the volume is 82.2 Å³ per cell.

Cell lengths 4.4060, 4.4060, 4.2332 Å; angles 90.00, 90.00, 90.00 degrees
With the nearest neighbours (Å) after each atom.
Space group P4/mmm (No. 123)
Unique sites:
Mg (0.0000, 0.0000, 0.0000)  2 N 2.12
Sc (0.0000, 0.5000, 0.5000)  2 N 2.20
Ga (0.5000, 0.5000, 0.0000)  8 Sc 3.06, 4 Mg 3.12
N (0.0000, 0.0000, 0.5000)  2 Mg 2.12, 4 Sc 2.20

---

Record 5
Pr4Tl2Sb: relaxed, PBE.

The calculation puts the raw formation energy at -562 meV/atom. The value obtained for the volume is 907.0 Å³ per cell.

Cell lengths 9.6783, 9.6783, 9.6831 Å; angles 90.00, 90.00, 90.00 degrees
With the nearest neighbours (Å) after each atom.
Space group I-42d (No. 122)
Unique sites:
Pr (0.0710, 0.1803, 0.3025)  2 Sb 3.21-3.48, 4 Tl 3.23-3.49
Tl (0.1238, 0.2500, 0.6250)  8 Pr 3.23-3.49
Sb (0.0000, 0.0000, 0.0000)  8 Pr 3.21-3.48

---

Record 6
Rb3PtS: relaxed, PBE.

The calculation puts the raw formation energy at -103 meV/atom. The value obtained for the volume is 248.3 Å³ per cell. As for the offset from the most stable computed form: 0.000 eV per atom.

Cell lengths 6.2850, 6.2850, 6.2850 Å; angles 90.00, 90.00, 90.00 degrees
With the nearest neighbours (Å) after each atom.
Space group Pm-3m (No. 221)
Unique sites:
Rb (0.0000, 0.0000, 0.5000)  2 S 3.14
Pt (0.5000, 0.5000, 0.5000)  12 Rb 4.44
S (0.0000, 0.0000, 0.0000)  6 Rb 3.14